[1]
# PBE RbHfInTc2, optimized geometry
# D(E_F): 6.17 states/eV/cell
# energy relative to the elements: 2.15 eV per atom
data_RbHfInTc2
_cell_length_a 5.103
_cell_length_b 5.103
_cell_length_c 5.405
_cell_angle_alpha 90.00
_cell_angle_beta 90.00
_cell_angle_gamma 90.00
_symmetry_space_group_name_H-M 'P 4/m m m'
_symmetry_Int_Tables_number 123
_symmetry_space_group_name_Hall '-P 4 2'
loop_
_atom_site_label
_atom_site_fract_x
_atom_site_fract_y
_atom_site_fract_z
_atom_site_occupancy
Rb1 0.000 0.000 0.000 1
Hf1 0.500 0.500 0.000 1
In1 0.000 0.000 0.500 1
Tc1 0.000 0.500 0.500 1


[2]
# PBE Rb2HfInTe5, optimized geometry
# D(E_F): 19.86 states/eV/cell
# formation energy from raw total energies: -0.709 eV/atom
data_Rb2HfInTe5
_cell_length_a 4.171
_cell_length_b 22.074
_cell_length_c 15.878
_cell_angle_alpha 90.00
_cell_angle_beta 90.00
_cell_angle_gamma 90.00
_symmetry_space_group_name_H-M 'C m c 21'
_symmetry_Int_Tables_number 36
_symmetry_space_group_name_Hall 'C 2c -2'
loop_
_atom_site_label
_atom_site_fract_x
_atom_site_fract_y
_atom_site_fract_z
_atom_site_occupancy
Rb1 0.000 0.131 0.000 1
Rb2 0.000 0.134 0.627 1
Hf1 0.000 0.208 0.330 1
In1 0.000 0.434 0.733 1
Te1 0.000 0.067 0.352 1
Te2 0.000 0.298 0.953 1
Te3 0.000 0.305 0.697 1
Te4 0.000 0.333 0.315 1
Te5 0.000 0.497 0.584 1


[3]
# PBE Rb2HfInTe, optimized geometry
# D(E_F): 15.27 states/eV/cell
# formation energy from raw total energies: 0.838 eV/atom
data_Rb2HfInTe
_cell_length_a 6.789
_cell_length_b 6.789
_cell_length_c 6.103
_cell_angle_alpha 90.00
_cell_angle_beta 90.00
_cell_angle_gamma 90.00
_symmetry_space_group_name_H-M 'P 4/m m m'
_symmetry_Int_Tables_number 123
_symmetry_space_group_name_Hall '-P 4 2'
loop_
_atom_site_label
_atom_site_fract_x
_atom_site_fract_y
_atom_site_fract_z
_atom_site_occupancy
Rb1 0.000 0.500 0.000 1
Hf1 0.000 0.000 0.500 1
In1 0.500 0.500 0.500 1
Te1 0.500 0.500 0.000 1


[4]
# PBE HfIn2Re, optimized geometry
# D(E_F): 10.13 states/eV/cell
# energy relative to the elements: 0.33 eV per atom
data_HfIn2Re
_cell_length_a 6.735
_cell_length_b 6.735
_cell_length_c 6.735
_cell_angle_alpha 90.00
_cell_angle_beta 90.00
_cell_angle_gamma 90.00
_symmetry_space_group_name_H-M 'F m -3 m'
_symmetry_Int_Tables_number 225
_symmetry_space_group_name_Hall '-F 4 2 3'
loop_
_atom_site_label
_atom_site_fract_x
_atom_site_fract_y
_atom_site_fract_z
_atom_site_occupancy
Hf1 0.000 0.000 0.000 1
In1 0.250 0.250 0.250 1
Re1 0.000 0.000 0.500 1


- Which value of D(E_F) does entry 2 give?
  19.86 states/eV/cell


- Which value of D(E_F) does entry 4 give?
  10.13 states/eV/cell


- The highest D(E_F) belongs to which entry?
  Rb2HfInTe5


- Which formula does entry 4 have?
  HfIn2Re